(1)
Ca7Mg6Si14: optimized geometry, PBE-GGA.

Formation energy without anion corrections, eV/f.u.: -7.849
Mass density, Mg/m³: 2.229
Total energy, eV/atom: -3.9759

a b c (Å): 12.9385 12.9385 4.2106
angles (deg): 90.00 90.00 120.00
Space group P6/mmm (No. 191)
Symmetry-distinct sites (fractional):
Ca  0.0000  0.0000  0.0000 x1
Ca  0.1862  0.3724  0.0000 x6
Mg  0.1722  0.5861  0.5000 x6
Si  0.0000  0.1806  0.5000 x6
Si  0.0000  0.3567  0.5000 x6
Si  0.3333  0.6667  0.0000 x2

---

(2)
TaRh2W: optimized geometry, PBE-GGA.

Polymorph energy (0 for the lowest one), eV per atom: 0.393
Energy relative to the elements, meV/atom: 67
Mass density, Mg/m³: 14.937
Total energy, eV/atom: -9.8097

a b c (Å): 6.331 6.331 6.331
angles (deg): 90.00 90.00 90.00
Space group Fm-3m (No. 225)
Symmetry-distinct sites (fractional):
Ta  0.000  0.000  0.000 x4
Rh  0.250  0.250  0.250 x8
W  0.000  0.000  0.500 x4